{
  "formula": "BaZn2P",
  "functional": "meta-GGA SCAN",
  "state": "single point on PBEsol structure",
  "dos_ef_per_ev_atom": 0.35,
  "ef_ev_per_atom": -0.193,
  "magnetic_moment_mub_per_cell": 0.00,
  "lattice": [[-0.326, -1.916, 3.248], [4.962, -2.006, 1.520], [2.808, 2.614, 4.030]],
  "species": ["Ba", "P", "Zn", "Zn"],
  "fractional_positions": [[0.500, 0.000, 0.000], [0.000, 0.500, 0.500], [0.316, 0.684, 0.684], [0.684, 0.316, 0.316]]
}